Entry 1:
The following is a DFT calculation (GGA-PBE) of an optimized crystal structure of Ho2Er4Tl.

Values from the calculation:
Magnetic moment ... 0.00 μB per formula unit
Calculated total energy ... -0.3135 Ry/atom
Density ... 9.41 g/cm3
Fermi-level density of states ... 42.3 states/eV per cell
Symmetry ... No. 62
DFT formation energy ... -0.01 eV/atom

Cell lengths 3.5475, 20.3721, 11.7545 Å; angles 90.00, 90.01, 90.00 degrees
Closest atoms and distances in Å follow each position.
Element x y z (fractional)
Tl1 0.2504 0.8865 0.4461  6 Er 3.24-3.49, 3 Ho 3.26-3.31, 2 Tl 3.55
Tl2 0.7496 0.1135 0.5539  6 Er 3.24-3.49, 3 Ho 3.26-3.31, 2 Tl 3.55
Tl3 0.7504 0.6133 0.9461  6 Er 3.24-3.49, 3 Ho 3.26-3.31, 2 Tl 3.55
Tl4 0.2496 0.3867 0.0539  6 Er 3.24-3.49, 3 Ho 3.26-3.31, 2 Tl 3.55
Ho1 0.2502 0.9009 0.1657  1 Tl 3.31, 9 Er 3.41-3.54, 2 Ho 3.55
Ho2 0.7498 0.0991 0.8343  1 Tl 3.31, 9 Er 3.41-3.54, 2 Ho 3.55
Ho3 0.7502 0.5989 0.6657  1 Tl 3.31, 9 Er 3.40-3.53, 2 Ho 3.55
Ho4 0.2498 0.4011 0.3343  1 Tl 3.31, 9 Er 3.40-3.53, 2 Ho 3.55
Ho5 0.7504 0.8425 0.6664  2 Tl 3.26-3.27, 7 Er 3.47-3.52, 2 Ho 3.55
Ho6 0.2496 0.1575 0.3336  2 Tl 3.26-3.27, 7 Er 3.47-3.52, 2 Ho 3.55
Ho7 0.2504 0.6573 0.1664  2 Tl 3.26-3.27, 7 Er 3.47-3.52, 2 Ho 3.55
Ho8 0.7496 0.3427 0.8336  2 Tl 3.26-3.27, 7 Er 3.47-3.52, 2 Ho 3.55
Er1 0.2498 0.9915 0.6529  3 Tl 3.24-3.27, 4 Ho 3.52-3.54, 2 Er 3.55
Er2 0.7502 0.0085 0.3471  3 Tl 3.24-3.27, 4 Ho 3.52-3.54, 2 Er 3.55
Er3 0.7498 0.5085 0.1529  3 Tl 3.24-3.27, 4 Ho 3.52-3.53, 2 Er 3.55
Er4 0.2502 0.4915 0.8471  3 Tl 3.24-3.27, 4 Ho 3.52-3.53, 2 Er 3.55
Er5 0.7498 0.9383 0.9138  4 Ho 3.41-3.53, 7 Er 3.48-3.71
Er6 0.2502 0.0617 0.0862  4 Ho 3.41-3.53, 7 Er 3.48-3.71
Er7 0.2498 0.5616 0.4138  4 Ho 3.40-3.53, 7 Er 3.48-3.70
Er8 0.7502 0.4384 0.5862  4 Ho 3.40-3.53, 7 Er 3.48-3.70
Er9 0.7504 0.7809 0.3022  2 Tl 3.26, 5 Er 3.29-3.55, 4 Ho 3.42-3.47
Er10 0.2496 0.2191 0.6978  2 Tl 3.26, 5 Er 3.29-3.55, 4 Ho 3.42-3.47
Er11 0.2504 0.7189 0.8021  2 Tl 3.26, 5 Er 3.29-3.55, 4 Ho 3.42-3.47
Er12 0.7496 0.2811 0.1979  2 Tl 3.26, 5 Er 3.29-3.55, 4 Ho 3.42-3.47
Er13 0.7504 0.7791 0.0220  6 Er 3.29-3.55, 4 Ho 3.49, 1 Tl 3.49
Er14 0.2496 0.2209 0.9780  6 Er 3.29-3.55, 4 Ho 3.49, 1 Tl 3.49
Er15 0.2504 0.7207 0.5220  6 Er 3.29-3.55, 4 Ho 3.49, 1 Tl 3.49
Er16 0.7496 0.2793 0.4780  6 Er 3.29-3.55, 4 Ho 3.49, 1 Tl 3.49



Entry 2:
The following is a DFT calculation (GGA-PBE) of an optimized crystal structure of HfGeSb2.

Values from the calculation:
Magnetic moment ... 0.00 μB per formula unit
Uncorrected formation energy ... 203 meV/atom
Calculated total energy ... -0.4043 Ry/atom
Density ... 5.99 g/cm3
Fermi-level density of states ... 1.7 states/eV per cell
Symmetry ... No. 122

Cell lengths 6.4950, 6.4950, 7.9555 Å; angles 65.91, 65.91, 90.00 degrees
Closest atoms and distances in Å follow each position.
Element x y z (fractional)
Sb1 0.6253 0.1250 0.2500  2 Hf 2.81, 2 Ge 2.81
Sb2 0.1247 0.6250 0.2500  2 Hf 2.81, 2 Ge 2.81
Sb3 0.3750 0.3747 0.7500  2 Hf 2.81, 2 Ge 2.81
Sb4 0.8750 0.8753 0.7500  2 Hf 2.81, 2 Ge 2.81
Ge1 0.5000 0.5000 0.0000  4 Sb 2.81
Ge2 0.2500 0.7500 0.5000  4 Sb 2.81
Hf1 0.0000 0.0000 0.0000  4 Sb 2.81
Hf2 0.7500 0.2500 0.5000  4 Sb 2.81



Entry 3:
The following is a DFT calculation (GGA-PBE) of an optimized crystal structure of MgBeF.

Values from the calculation:
Magnetic moment ... 0.00 μB per formula unit
Uncorrected formation energy ... -1297 meV/atom
Calculated total energy ... -0.2715 Ry/atom
Density ... 2.12 g/cm3
Fermi-level density of states ... 0.7 states/eV per cell
Symmetry ... No. 6

Cell lengths 4.3285, 2.9026, 6.8342 Å; angles 90.00, 107.52, 90.00 degrees
Closest atoms and distances in Å follow each position.
Element x y z (fractional)
Be1 0.2921 0.5000 0.7182  1 Be 2.15
Be2 0.1141 0.5000 0.3882  3 F 1.61-1.78
Mg1 0.4376 0.0000 0.0447  3 F 2.08-2.13
Mg2 0.7711 0.0000 0.6785  4 Be 2.61-2.63, 2 Mg 2.90, 1 F 2.91
F1 0.3310 0.5000 0.2331  1 Be 1.61
F2 0.8894 0.0000 0.2813  2 Be 1.78



Entry 4:
The following is a DFT calculation (GGA-PBE) of an optimized crystal structure of Tm8NiPd2.

Values from the calculation:
Magnetic moment ... 0.00 μB per formula unit
Calculated total energy ... -0.3749 Ry/atom
Density ... 9.65 g/cm3
Fermi-level density of states ... 9.7 states/eV per cell
Symmetry ... No. 8
DFT formation energy ... -0.38 eV/atom

Cell lengths 5.4495, 9.2572, 9.2572 Å; angles 137.81, 99.41, 99.41 degrees
Closest atoms and distances in Å follow each position.
Element x y z (fractional)
Tm1 0.5972 0.4198 0.1826  1 Ni 2.68, 2 Pd 2.86-2.93
Tm2 0.5972 0.1826 0.4198  1 Ni 2.68, 2 Pd 2.86-2.93
Tm3 0.0580 0.2539 0.2539  2 Ni 3.03-3.14, 5 Tm 3.07-3.37
Tm4 0.9564 0.2007 0.8003  2 Pd 2.88
Tm5 0.9564 0.8003 0.2007  2 Pd 2.88
Tm6 0.8500 0.7423 0.7423  1 Ni 2.85, 1 Tm 3.07
Tm7 0.3176 0.8250 0.5915  1 Ni 2.71, 2 Pd 2.89-2.96
Tm8 0.3176 0.5915 0.8250  1 Ni 2.71, 2 Pd 2.89-2.96
Ni1 0.4336 0.0090 0.0090  5 Tm 2.68-2.85
Pd1 0.4579 0.7503 0.2585  6 Tm 2.86-2.96
Pd2 0.4579 0.2585 0.7503  6 Tm 2.86-2.96



Entry 5:
The following is a DFT calculation (GGA-PBE) of an optimized crystal structure of EuMg2.

Values from the calculation:
Magnetic moment ... 7.39 μB per formula unit
Calculated total energy ... -0.3383 Ry/atom
Density ... 3.81 g/cm3
Fermi-level density of states ... 11.3 states/eV per cell
Symmetry ... No. 194
DFT formation energy ... -0.11 eV/atom

Cell lengths 6.3050, 6.3050, 10.1634 Å; angles 90.00, 90.00, 120.00 degrees
Closest atoms and distances in Å follow each position.
Element x y z (fractional)
Eu1 0.6667 0.3333 0.0613  12 Mg 3.64-3.69, 4 Eu 3.83-3.85
Eu2 0.6667 0.3333 0.4387  12 Mg 3.64-3.69, 4 Eu 3.83-3.85
Eu3 0.3333 0.6667 0.9387  12 Mg 3.64-3.69, 4 Eu 3.83-3.85
Eu4 0.3333 0.6667 0.5613  12 Mg 3.64-3.69, 4 Eu 3.83-3.85
Mg1 0.1682 0.3363 0.2500  6 Mg 3.12-3.18
Mg2 0.3363 0.1682 0.7500  6 Mg 3.12-3.18
Mg3 0.6637 0.8318 0.2500  6 Mg 3.12-3.18
Mg4 0.1682 0.8318 0.2500  6 Mg 3.12-3.18
Mg5 0.8318 0.1682 0.7500  6 Mg 3.12-3.18
Mg6 0.8318 0.6637 0.7500  6 Mg 3.12-3.18
Mg7 0.0000 0.0000 0.5000  6 Mg 3.14
Mg8 0.0000 0.0000 0.0000  6 Mg 3.14



Entry 6:
The following is a DFT calculation (GGA-PBE) of an optimized crystal structure of PmSmY2Th.

Values from the calculation:
Magnetic moment ... 0.00 μB per formula unit
Calculated total energy ... -0.4150 Ry/atom
Density ... 6.66 g/cm3
Fermi-level density of states ... 13.5 states/eV per cell
Symmetry ... No. 13
DFT formation energy ... 0.32 eV/atom

Cell lengths 6.5238, 8.6420, 6.3163 Å; angles 99.13, 90.00, 90.00 degrees
Closest atoms and distances in Å follow each position.
Element x y z (fractional)
Pm1 0.1706 0.5000 0.7500  8 Y 3.57-3.71, 2 Pm 3.86
Pm2 0.8294 0.5000 0.2500  8 Y 3.57-3.71, 2 Pm 3.86
Sm1 0.0000 0.0000 0.0000  2 Sm 3.16, 2 Th 3.31, 2 Y 3.48
Sm2 0.0000 0.0000 0.5000  2 Sm 3.16, 2 Th 3.31, 2 Y 3.48
Y1 0.6824 0.6884 0.7984  1 Th 3.16, 1 Y 3.22, 1 Sm 3.48
Y2 0.6824 0.3116 0.7016  1 Th 3.16, 1 Y 3.22, 1 Sm 3.48
Y3 0.3176 0.6884 0.2984  1 Th 3.16, 1 Y 3.22, 1 Sm 3.48
Y4 0.3176 0.3116 0.2016  1 Th 3.16, 1 Y 3.22, 1 Sm 3.48
Th1 0.5548 0.0000 0.2500  2 Y 3.16, 2 Th 3.24, 2 Sm 3.31
Th2 0.4452 0.0000 0.7500  2 Y 3.16, 2 Th 3.24, 2 Sm 3.31



Entry 7:
The following is a DFT calculation (GGA-PBE) of an optimized crystal structure of PmCd2GaAu2.

Values from the calculation:
Magnetic moment ... 0.00 μB per formula unit
Calculated total energy ... -0.2047 Ry/atom
Density ... 8.64 g/cm3
Fermi-level density of states ... 2.6 states/eV per cell
Symmetry ... No. 139
DFT formation energy ... -0.09 eV/atom

Cell lengths 5.4062, 5.4062, 6.6808 Å; angles 113.87, 113.87, 90.00 degrees
Closest atoms and distances in Å follow each position.
Element x y z (fractional)
Pm1 0.5000 0.5000 0.0000  2 Au 3.00
Cd1 0.2500 0.7500 0.5000  4 Au 2.72
Cd2 0.7500 0.2500 0.5000  4 Au 2.72
Ga1 0.0000 0.0000 0.0000  2 Au 2.48
Au1 0.7740 0.7740 0.5481  1 Ga 2.48, 4 Cd 2.72
Au2 0.2260 0.2260 0.4519  1 Ga 2.48, 4 Cd 2.72



Entry 8:
The following is a DFT calculation (GGA-PBE) of an optimized crystal structure of La3Zn2Cd3.

Values from the calculation:
Magnetic moment ... 0.00 μB per formula unit
Calculated total energy ... -0.2071 Ry/atom
Density ... 6.81 g/cm3
Fermi-level density of states ... 18.1 states/eV per cell
Symmetry ... No. 63
DFT formation energy ... -0.31 eV/atom

Cell lengths 4.8130, 6.0901, 16.0179 Å; angles 90.00, 90.00, 113.27 degrees
Closest atoms and distances in Å follow each position.
Element x y z (fractional)
La1 0.9005 0.8010 0.3950  4 Zn 3.29-3.47, 7 Cd 3.34-3.57
La2 0.0995 0.1990 0.8950  4 Zn 3.29-3.47, 7 Cd 3.34-3.57
La3 0.9005 0.8010 0.1050  4 Zn 3.29-3.47, 7 Cd 3.34-3.57
La4 0.0995 0.1990 0.6050  4 Zn 3.29-3.47, 7 Cd 3.34-3.57
La5 0.6192 0.2384 0.2500  5 Cd 3.26-3.36, 4 Zn 3.52
La6 0.3808 0.7616 0.7500  5 Cd 3.26-3.36, 4 Zn 3.52
Zn1 0.8003 0.6006 0.8998  4 Cd 2.75-3.05
Zn2 0.1997 0.3994 0.3998  4 Cd 2.75-3.05
Zn3 0.8003 0.6006 0.6002  4 Cd 2.75-3.05
Zn4 0.1997 0.3994 0.1002  4 Cd 2.75-3.05
Cd1 0.6167 0.2334 0.4598  3 Zn 2.75-3.05, 1 Cd 2.91
Cd2 0.3833 0.7666 0.9598  3 Zn 2.75-3.05, 1 Cd 2.91
Cd3 0.6167 0.2334 0.0402  3 Zn 2.75-3.05, 1 Cd 2.91
Cd4 0.3833 0.7666 0.5402  3 Zn 2.75-3.05, 1 Cd 2.91
Cd5 0.3280 0.6561 0.2500  2 Zn 2.80
Cd6 0.6720 0.3439 0.7500  2 Zn 2.80



Entry 9:
The following is a DFT calculation (GGA-PBE) of an optimized crystal structure of SmY2Sc7.

Values from the calculation:
Magnetic moment ... 0.00 μB per formula unit
Calculated total energy ... -0.4509 Ry/atom
Density ... 3.98 g/cm3
Fermi-level density of states ... 18.6 states/eV per cell
Symmetry ... No. 12
DFT formation energy ... 0.06 eV/atom

Cell lengths 4.7568, 8.2309, 10.0345 Å; angles 122.66, 76.30, 125.28 degrees
Closest atoms and distances in Å follow each position.
Element x y z (fractional)
Sm1 0.0000 0.0000 0.0000  12 Sc 3.34-3.37
Y1 0.5949 0.7925 0.3951  10 Sc 3.32-3.43, 2 Y 3.44
Y2 0.4051 0.2075 0.6049  10 Sc 3.32-3.43, 2 Y 3.44
Sc1 0.8988 0.6992 0.6007  4 Y 3.32-3.39, 7 Sc 3.33-3.39, 1 Sm 3.35
Sc2 0.1012 0.3008 0.3993  4 Y 3.32-3.39, 7 Sc 3.33-3.39, 1 Sm 3.35
Sc3 0.2017 0.6010 0.7987  8 Sc 3.33-3.37, 2 Y 3.34, 2 Sm 3.37
Sc4 0.7983 0.3990 0.2013  8 Sc 3.33-3.37, 2 Y 3.34, 2 Sm 3.37
Sc5 0.2975 0.8957 0.1964  7 Sc 3.34-3.39, 2 Sm 3.34, 3 Y 3.35-3.43
Sc6 0.7025 0.1043 0.8036  7 Sc 3.34-3.39, 2 Sm 3.34, 3 Y 3.35-3.43
Sc7 0.5000 0.5000 0.0000  2 Y 3.32, 8 Sc 3.35-3.37, 2 Sm 3.36



Entry 10:
The following is a DFT calculation (GGA-PBE) of an optimized crystal structure of Ag2C.

Values from the calculation:
Magnetic moment ... 0.00 μB per formula unit
Calculated total energy ... -0.3052 Ry/atom
Density ... 8.06 g/cm3
Fermi-level density of states ... 0.9 states/eV per cell
Symmetry ... No. 12
DFT formation energy ... 0.82 eV/atom

Cell lengths 5.7332, 5.7332, 7.0825 Å; angles 52.71, 52.71, 31.24 degrees
Closest atoms and distances in Å follow each position.
Element x y z (fractional)
Ag1 0.7406 0.7406 0.7658  2 C 2.33
Ag2 0.9965 0.9965 0.8067  2 C 2.44
Ag3 0.0035 0.0035 0.1933  2 C 2.44
Ag4 0.2594 0.2594 0.2342  2 C 2.33
C1 0.4370 0.4370 0.5124  1 C 1.29
C2 0.5630 0.5630 0.4876  1 C 1.29